Li2SiTe | GGA-PBE | optimized geometry

Output
DOS(E_F): 0.785 states/eV/f.u.
energy relative to the elements, uncorrected: -0.638 eV per formula unit
space group: No. 6
distance to the lowest polymorph of the same formula: 104.4 meV per atom

a b c (Å): 5.5717 3.0334 4.7135
angles (deg): 90.03 90.00 90.00
Sites, in units of the cell vectors:
Li1 0.0000 0.1235 0.9786
Li2 0.5000 0.1263 0.2730
Te1 0.5000 0.6261 0.7651
Si1 0.0000 0.6241 0.4834